Material: FeHgAs2
Method: DFT, PBE
State: optimized geometry

Output
The calculation puts the total magnetization at 1.6 Bohr magnetons per cell. Its crystal system is monoclinic.

abc: 3.862 4.858 5.235
angles: 61.58 90.00 90.00
Last column: magnetic moment on the atom in μB.
Element x y z (fractional)
As  0.000  0.439  0.374  -0.02
As  0.000  0.061  0.126  -0.02
Hg  0.500  0.750  0.750  -0.02
Fe  0.500  0.250  0.250  1.59

---

Material: Y2HgRu
Method: DFT, PBE
State: optimized geometry

Output
The calculation puts the total magnetization at 0.0 Bohr magnetons per cell. Its crystal system is orthorhombic.

abc: 3.629 4.437 6.088
angles: 90.00 90.00 90.00
Element x y z (fractional)
Ru  0.500  0.500  0.830
Y  0.500  0.500  0.284
Y  0.000  0.000  0.931
Hg  0.000  0.000  0.456

---

Material: MnAl2Ag2
Method: DFT, PBE
State: optimized geometry

Output
The calculation puts the total magnetization at 0.0 Bohr magnetons per cell. Its crystal system is tetragonal.

abc: 7.288 7.288 2.970
angles: 90.00 90.00 90.00
Element x y z (fractional)
Mn  0.000  0.000  0.000
Mn  0.500  0.500  0.000
Ag  0.145  0.645  0.500
Ag  0.855  0.355  0.500
Ag  0.645  0.855  0.500
Ag  0.355  0.145  0.500
Al  0.155  0.345  0.000
Al  0.845  0.655  0.000
Al  0.345  0.845  0.000
Al  0.655  0.155  0.000

---

no.,energy relative to the elements (kJ/mol of atoms)
1,19.10
2,-10.50
3,35.26